First-principles (GGA-PBE) data for a relaxed CaTc2Pb crystal, as listed in Alexandria via LeMat-Bulk.

a b c (Å): 7.8815 7.8815 5.7189
angles (deg): 90.00 90.00 90.00
Closest atoms and distances in Å follow each position.
Space group I-42d (No. 122)
Symmetry-distinct sites (fractional):
1 Ca 0.0000 0.0000 0.0000 (multiplicity 4)  2 Pb 2.86, 4 Tc 3.05
2 Tc 0.2192 0.7500 0.6250 (multiplicity 8)  2 Pb 2.72, 2 Tc 2.90
3 Pb 0.0000 0.0000 0.5000 (multiplicity 4)  4 Tc 2.72, 2 Ca 2.86

Computed properties:
magnetization: 2.01 μB per formula unit
calculated formation energy: 1.105 eV/atom
VASP energy: -88.1 eV per cell


First-principles (GGA-PBE) data for a relaxed CaBe2As crystal, as listed in Alexandria via LeMat-Bulk.

a b c (Å): 3.6270 4.4817 8.5294
angles (deg): 90.00 90.00 90.00
Closest atoms and distances in Å follow each position.
Space group Immm (No. 71)
Symmetry-distinct sites (fractional):
1 Ca 0.0000 0.0000 0.0000 (multiplicity 2)  4 As 2.88, 8 Be 2.90-3.03
2 Be 0.0000 0.5000 0.2156 (multiplicity 4)  2 As 2.58
3 As 0.0000 0.0000 0.5000 (multiplicity 2)  4 Be 2.58, 4 Ca 2.88

Computed properties:
magnetization: 0.00 μB per formula unit
calculated formation energy: 0.294 eV/atom
VASP energy: -25.9 eV per cell


First-principles (GGA-PBE) data for a relaxed KMgCo2Mo crystal, as listed in Alexandria via LeMat-Bulk.

a b c (Å): 4.4122 4.4122 4.7178
angles (deg): 90.00 90.00 90.00
Closest atoms and distances in Å follow each position.
Space group P4/mmm (No. 123)
Symmetry-distinct sites (fractional):
1 K 0.0000 0.0000 0.0000 (multiplicity 1)  4 Co 2.21, 2 Mg 2.36
2 Mg 0.0000 0.0000 0.5000 (multiplicity 1)  2 K 2.36
3 Co 0.0000 0.5000 0.0000 (multiplicity 2)  2 K 2.21
4 Mo 0.5000 0.5000 0.5000 (multiplicity 1)  4 Mg 3.12, 8 Co 3.23

Computed properties:
magnetization: 4.78 μB per formula unit
calculated formation energy: 2.346 eV/atom
VASP energy: -16.0 eV per cell


First-principles (GGA-PBE) data for a relaxed HoCdInSn crystal, as listed in Alexandria via LeMat-Bulk.

a b c (Å): 4.4793 4.5995 4.7669
angles (deg): 90.00 90.00 90.00
Closest atoms and distances in Å follow each position.
Space group Pmmm (No. 47)
Symmetry-distinct sites (fractional):
1 Ho 0.0000 0.0000 0.0000 (multiplicity 1)  4 Sn 3.21, 4 In 3.27, 4 Cd 3.31
2 Cd 0.0000 0.5000 0.5000 (multiplicity 1)  4 In 3.21, 4 Sn 3.27, 4 Ho 3.31
3 In 0.5000 0.0000 0.5000 (multiplicity 1)  4 Cd 3.21, 4 Ho 3.27, 4 Sn 3.31
4 Sn 0.5000 0.5000 0.0000 (multiplicity 1)  4 Ho 3.21, 4 Cd 3.27, 4 In 3.31

Computed properties:
magnetization: 0.00 μB per formula unit
calculated formation energy: -0.415 eV/atom
VASP energy: -13.9 eV per cell


First-principles (GGA-PBE) data for a relaxed NaGaTe2 crystal, as listed in Alexandria via LeMat-Bulk.

a b c (Å): 14.1634 4.1913 4.3087
angles (deg): 90.00 90.05 90.00
Closest atoms and distances in Å follow each position.
Space group Cm (No. 8)
Symmetry-distinct sites (fractional):
1 Na 0.0000 0.0000 0.0000 (multiplicity 2)  6 Te 3.18-3.33
2 Ga 0.2788 0.5000 0.4990 (multiplicity 2)  4 Te 2.66-2.70
3 Te 0.1688 0.5000 0.9987 (multiplicity 2)  2 Ga 2.66
4 Te 0.3995 0.0000 0.4996 (multiplicity 2)  2 Ga 2.70

Computed properties:
magnetization: 0.00 μB per formula unit
formation energy (no corrections): -0.54 eV per atom
VASP energy: -25.6 eV per cell


First-principles (GGA-PBE) data for a relaxed LiMg2Te2 crystal, as listed in Alexandria via LeMat-Bulk.

a b c (Å): 4.6109 4.6109 14.4028
angles (deg): 90.00 90.00 90.00
Closest atoms and distances in Å follow each position.
Space group I4/mmm (No. 139)
Symmetry-distinct sites (fractional):
1 Li 0.0000 0.0000 0.0000 (multiplicity 2)  8 Te 3.76
2 Mg 0.0000 0.5000 0.2500 (multiplicity 4)  4 Te 2.88
3 Te 0.0000 0.0000 0.3695 (multiplicity 4)  4 Mg 2.88

Computed properties:
magnetization: 0.00 μB per formula unit
formation energy (no corrections): -0.46 eV per atom
VASP energy: -27.4 eV per cell


First-principles (GGA-PBE) data for a relaxed BaInP2 crystal, as listed in Alexandria via LeMat-Bulk.

a b c (Å): 5.1432 5.3580 7.2838
angles (deg): 90.00 90.00 90.00
Closest atoms and distances in Å follow each position.
Space group Cmm2 (No. 35)
Symmetry-distinct sites (fractional):
1 Ba 0.0000 0.0000 0.0000 (multiplicity 2)  1 P 2.98
2 In 0.0000 0.5000 0.6541 (multiplicity 2)  1 P 2.55
3 P 0.0000 0.0000 0.4092 (multiplicity 2)  4 P 2.68-2.79, 1 Ba 2.98
4 P 0.0000 0.5000 0.3034 (multiplicity 2)  1 In 2.55, 4 P 2.68-2.79

Computed properties:
magnetization: 0.00 μB per formula unit
calculated formation energy: -0.071 eV/atom
VASP energy: -31.5 eV per cell


First-principles (GGA-PBE) data for a relaxed MnRe2Mo crystal, as listed in Alexandria via LeMat-Bulk.

a b c (Å): 3.8754 3.8754 3.8625
angles (deg): 90.00 90.00 90.00
Closest atoms and distances in Å follow each position.
Space group P4/mmm (No. 123)
Symmetry-distinct sites (fractional):
1 Mn 0.0000 0.0000 0.0000 (multiplicity 1)  8 Re 2.74, 4 Mo 2.74
2 Re 0.0000 0.5000 0.5000 (multiplicity 2)  4 Mn 2.74, 4 Mo 2.74, 4 Re 2.74
3 Mo 0.5000 0.5000 0.0000 (multiplicity 1)  8 Re 2.74, 4 Mn 2.74

Computed properties:
magnetization: 1.69 μB per formula unit
calculated formation energy: 0.134 eV/atom
VASP energy: -44.4 eV per cell


First-principles (GGA-PBE) data for a relaxed BeCd3Sn crystal, as listed in Alexandria via LeMat-Bulk.

a b c (Å): 5.6041 5.6041 5.6041
angles (deg): 90.00 90.00 90.00
Closest atoms and distances in Å follow each position.
Space group Pm-3m (No. 221)
Symmetry-distinct sites (fractional):
1 Be 0.0000 0.0000 0.0000 (multiplicity 1)  12 Cd 3.96
2 Cd 0.0000 0.5000 0.5000 (multiplicity 3)  2 Sn 2.80
3 Sn 0.5000 0.5000 0.5000 (multiplicity 1)  6 Cd 2.80

Computed properties:
magnetization: 0.00 μB per formula unit
calculated formation energy: 0.900 eV/atom
VASP energy: -6.0 eV per cell


First-principles (GGA-PBE) data for a relaxed K2NpPd2Se4 crystal, as listed in Alexandria via LeMat-Bulk.

a b c (Å): 15.0627 4.1441 7.8797
angles (deg): 90.00 109.53 90.00
Closest atoms and distances in Å follow each position.
Space group C2/m (No. 12)
Symmetry-distinct sites (fractional):
1 K 0.1338 0.0000 0.0757 (multiplicity 4)  7 Se 3.36-3.52, 1 Pd 3.56
2 Np 0.0000 0.0000 0.5000 (multiplicity 2)  6 Se 2.79-2.83
3 Pd 0.1842 0.5000 0.4973 (multiplicity 4)  4 Se 2.53-2.70
4 Se 0.0126 0.5000 0.2636 (multiplicity 4)  1 Pd 2.62, 2 Np 2.83
5 Se 0.1936 0.0000 0.6872 (multiplicity 4)  3 Pd 2.53-2.70, 1 Np 2.79

Computed properties:
magnetization: 2.14 μB per formula unit
formation energy (no corrections): -0.92 eV per atom
VASP energy: -95.4 eV per cell


First-principles (GGA-PBE) data for a relaxed La3Tb8Pr2 crystal, as listed in Alexandria via LeMat-Bulk.

a b c (Å): 20.7233 7.7574 5.6868
angles (deg): 90.00 90.09 90.00
Closest atoms and distances in Å follow each position.
Space group C2/m (No. 12)
Symmetry-distinct sites (fractional):
1 La 0.0000 0.0000 0.0000 (multiplicity 2)  4 Tb 3.17
2 La 0.0000 0.2993 0.5000 (multiplicity 4)  1 La 3.11
3 Tb 0.1076 0.2907 0.0004 (multiplicity 8)  1 La 3.17, 3 Tb 3.25-3.50, 1 Pr 3.52
4 Tb 0.1333 0.0000 0.4990 (multiplicity 4)  4 La 3.61-3.97, 2 Pr 3.61-3.63, 6 Tb 3.66-3.94
5 Tb 0.1671 0.5000 0.5017 (multiplicity 4)  2 Pr 3.41-3.42, 4 Tb 3.49-3.50, 2 La 3.80
6 Pr 0.2417 0.0000 0.9974 (multiplicity 4)  8 Tb 3.41-3.63

Computed properties:
magnetization: 0.00 μB per formula unit
calculated formation energy: 0.245 eV/atom
VASP energy: -116.4 eV per cell


First-principles (GGA-PBE) data for a relaxed BaBe2Rh crystal, as listed in Alexandria via LeMat-Bulk.

a b c (Å): 3.0509 3.0509 7.3360
angles (deg): 90.00 90.00 90.00
Closest atoms and distances in Å follow each position.
Space group P4/mmm (No. 123)
Symmetry-distinct sites (fractional):
1 Ba 0.0000 0.0000 0.0000 (multiplicity 1)  4 Ba 3.05, 8 Be 3.37
2 Be 0.5000 0.5000 0.3532 (multiplicity 2)  1 Be 2.15, 4 Rh 2.41
3 Rh 0.0000 0.0000 0.5000 (multiplicity 1)  8 Be 2.41

Computed properties:
magnetization: 0.00 μB per formula unit
calculated formation energy: 0.043 eV/atom
VASP energy: -16.6 eV per cell


First-principles (GGA-PBE) data for a relaxed MgAgRu2 crystal, as listed in Alexandria via LeMat-Bulk.

a b c (Å): 2.9456 4.6729 9.1611
angles (deg): 90.00 90.00 90.00
Closest atoms and distances in Å follow each position.
Space group Imm2 (No. 44)
Symmetry-distinct sites (fractional):
1 Mg 0.0000 0.0000 0.0000 (multiplicity 2)  6 Ru 2.76-2.77, 2 Ag 2.78, 2 Mg 2.95
2 Ag 0.0000 0.5000 0.2427 (multiplicity 2)  6 Ru 2.76-2.82, 2 Mg 2.78, 2 Ag 2.95
3 Ru 0.0000 0.0000 0.4797 (multiplicity 2)  2 Ru 2.53, 4 Mg 2.77, 2 Ag 2.82
4 Ru 0.0000 0.5000 0.7546 (multiplicity 2)  2 Ru 2.53, 2 Mg 2.76, 4 Ag 2.76

Computed properties:
magnetization: 0.00 μB per formula unit
calculated formation energy: 0.314 eV/atom
VASP energy: -43.5 eV per cell


First-principles (GGA-PBE) data for a relaxed TaSCl2O crystal, as listed in Alexandria via LeMat-Bulk.

a b c (Å): 4.8537 4.8537 4.7152
angles (deg): 90.00 90.00 90.00
Closest atoms and distances in Å follow each position.
Space group P4/mmm (No. 123)
Symmetry-distinct sites (fractional):
1 Ta 0.0000 0.0000 0.0000 (multiplicity 1)  2 S 2.36, 4 Cl 2.43
2 S 0.0000 0.0000 0.5000 (multiplicity 1)  2 Ta 2.36
3 Cl 0.0000 0.5000 0.0000 (multiplicity 2)  2 Ta 2.43
4 O 0.5000 0.5000 0.5000 (multiplicity 1)  8 Cl 3.38, 4 S 3.43

Computed properties:
magnetization: 1.73 μB per formula unit
formation energy (no corrections): -0.13 eV per atom
VASP energy: -25.3 eV per cell


First-principles (GGA-PBE) data for a relaxed Ba2LiMn crystal, as listed in Alexandria via LeMat-Bulk.

a b c (Å): 9.2248 9.2248 7.3444
angles (deg): 90.00 90.00 90.00
Closest atoms and distances in Å follow each position.
Space group I-42d (No. 122)
Symmetry-distinct sites (fractional):
1 Ba 0.2346 0.2500 0.1250 (multiplicity 8)  2 Mn 3.29, 2 Li 3.49, 2 Ba 3.68
2 Li 0.0000 0.0000 0.5000 (multiplicity 4)  4 Ba 3.49, 2 Mn 3.67
3 Mn 0.0000 0.0000 0.0000 (multiplicity 4)  4 Ba 3.29, 2 Li 3.67

Computed properties:
magnetization: 3.49 μB per formula unit
calculated formation energy: 0.573 eV/atom
VASP energy: -50.6 eV per cell


First-principles (GGA-PBE) data for a relaxed DyAs3Ru5 crystal, as listed in Alexandria via LeMat-Bulk.

a b c (Å): 3.1220 13.2610 14.2506
angles (deg): 90.00 90.00 90.00
Closest atoms and distances in Å follow each position.
Space group Cmcm (No. 63)
Symmetry-distinct sites (fractional):
1 Dy 0.0000 0.1597 0.2500 (multiplicity 4)  8 Ru 3.09-3.45, 2 Dy 3.12, 6 As 3.25
2 As 0.0000 0.1254 0.7500 (multiplicity 4)  6 Ru 2.50-2.53
3 As 0.0000 0.3647 0.5509 (multiplicity 8)  6 Ru 2.37-2.60
4 Ru 0.0000 0.0000 0.0000 (multiplicity 4)  4 As 2.49, 4 Ru 2.72
5 Ru 0.0000 0.1902 0.5854 (multiplicity 8)  4 As 2.37-2.60
6 Ru 0.0000 0.4855 0.1557 (multiplicity 8)  3 As 2.49-2.53, 3 Ru 2.69-2.72

Computed properties:
magnetization: 0.00 μB per formula unit
calculated formation energy: -0.187 eV/atom
VASP energy: -266.5 eV per cell


First-principles (GGA-PBE) data for a relaxed Hf2ScAs crystal, as listed in Alexandria via LeMat-Bulk.

a b c (Å): 3.4562 3.4562 27.5597
angles (deg): 90.00 90.00 120.00
Closest atoms and distances in Å follow each position.
Space group R-3m (No. 166, hexagonal axes)
Symmetry-distinct sites (fractional):
1 Hf 0.0000 0.0000 0.1049 (multiplicity 6)  3 As 2.62, 1 Sc 2.89
2 Sc 0.0000 0.0000 0.0000 (multiplicity 3)  2 Hf 2.89
3 As 0.0000 0.0000 0.5000 (multiplicity 3)  6 Hf 2.62

Computed properties:
magnetization: 1.29 μB per formula unit
calculated formation energy: 0.017 eV/atom
VASP energy: -92.5 eV per cell


First-principles (GGA-PBE) data for a relaxed AlZnOs2 crystal, as listed in Alexandria via LeMat-Bulk.

a b c (Å): 2.9131 4.6764 8.4514
angles (deg): 90.00 90.00 90.00
Closest atoms and distances in Å follow each position.
Space group Cmmm (No. 65)
Symmetry-distinct sites (fractional):
1 Al 0.0000 0.0000 0.0000 (multiplicity 2)  4 Os 2.51, 4 Al 2.75
2 Zn 0.0000 0.0000 0.5000 (multiplicity 2)  4 Os 2.62, 6 Zn 2.75-2.91
3 Os 0.0000 0.5000 0.2419 (multiplicity 4)  2 Al 2.51, 2 Zn 2.62, 4 Os 2.75

Computed properties:
magnetization: 0.00 μB per formula unit
calculated formation energy: 0.103 eV/atom
VASP energy: -54.1 eV per cell


First-principles (GGA-PBE) data for a relaxed LiIn3Ag7 crystal, as listed in Alexandria via LeMat-Bulk.

a b c (Å): 3.0290 31.9096 11.3273
angles (deg): 90.00 90.00 90.00
Closest atoms and distances in Å follow each position.
Space group Cmcm (No. 63)
Symmetry-distinct sites (fractional):
1 Li 0.0000 0.0764 0.2500 (multiplicity 4)  8 Ag 2.90-2.93, 2 Li 3.03, 2 In 3.24
2 In 0.0000 0.0677 0.5353 (multiplicity 8)  8 Ag 2.86-3.12, 2 In 3.03
3 In 0.0000 0.1819 0.2500 (multiplicity 4)  8 Ag 2.87-2.90, 2 In 3.03
4 Ag 0.0000 0.2775 0.5681 (multiplicity 8)  5 Ag 2.78-3.03, 2 In 2.87
5 Ag 0.0000 0.3707 0.5898 (multiplicity 8)  4 In 2.86-2.90, 2 Li 2.90, 3 Ag 2.99-3.03
6 Ag 0.0000 0.4298 0.2500 (multiplicity 4)  4 In 2.87, 4 Ag 2.97-3.03
7 Ag 0.0000 0.4884 0.6253 (multiplicity 8)  5 Ag 2.83-3.03, 2 Li 2.93, 4 In 2.97-3.12

Computed properties:
magnetization: 0.00 μB per formula unit
calculated formation energy: 0.096 eV/atom
VASP energy: -116.1 eV per cell


First-principles (GGA-PBE) data for a relaxed Na3Pm3SbS8 crystal, as listed in Alexandria via LeMat-Bulk.

a b c (Å): 8.1142 8.1142 20.1994
angles (deg): 90.00 90.00 120.00
Closest atoms and distances in Å follow each position.
Space group R-3m (No. 166, hexagonal axes)
Symmetry-distinct sites (fractional):
1 Na 0.0000 0.5000 0.0000 (multiplicity 9)  6 S 2.95-2.96
2 Pm 0.0000 0.5000 0.5000 (multiplicity 9)  6 S 2.81-2.84
3 Sb 0.0000 0.0000 0.5000 (multiplicity 3)  6 S 2.66
4 S 0.0000 0.0000 0.2437 (multiplicity 6)  3 Pm 2.81, 3 Na 2.96
5 S 0.0196 0.5098 0.2405 (multiplicity 18)  1 Sb 2.66, 2 Pm 2.84, 2 Na 2.95

Computed properties:
magnetization: 0.00 μB per formula unit
formation energy (no corrections): -1.46 eV per atom
VASP energy: -231.9 eV per cell